[1]
NaScGe3 | PBE | relaxed

Summary:
Electronic total energy = -3.59 eV/atom
Offset from the most stable computed form = 493 meV per atom
Formation energy from the elements = 3.5 eV/f.u.

a b c (Å): 4.902 4.902 4.902
angles (deg): 90.00 90.00 90.00
Space group Pm-3m (No. 221)
Symmetry-distinct sites (fractional):
1 Na 0.000 0.000 0.000 x1
2 Sc 0.500 0.500 0.500 x1
3 Ge 0.000 0.000 0.500 x3

---

[2]
NaScGe | PBE | relaxed

Summary:
Electronic total energy = -4.43 eV/atom
Formation energy from the elements = -1.0 eV/f.u.

a b c (Å): 4.838 4.838 6.829
angles (deg): 90.00 90.25 90.00
Space group P2_1/m (No. 11)
Symmetry-distinct sites (fractional):
1 Na 0.250 0.250 0.126 x2
2 Sc 0.250 0.750 0.500 x2
3 Ge 0.252 0.250 0.685 x2

---

[3]
NaScGe | PBE | relaxed

Summary:
Electronic total energy = -4.29 eV/atom
Formation energy from the elements = -0.6 eV/f.u.

a b c (Å): 6.634 6.634 6.634
angles (deg): 90.00 90.00 90.00
Space group F-43m (No. 216)
Symmetry-distinct sites (fractional):
1 Na 0.000 0.000 0.000 x4
2 Sc 0.000 0.000 0.500 x4
3 Ge 0.250 0.250 0.750 x4

---

[4]
NaScGe | PBE | relaxed

Summary:
Electronic total energy = -4.23 eV/atom
Formation energy from the elements = -0.4 eV/f.u.

a b c (Å): 4.880 3.612 14.371
angles (deg): 90.00 90.00 90.00
Space group Amm2 (No. 38)
Symmetry-distinct sites (fractional):
1 Na 0.000 0.000 0.000 x2
2 Na 0.000 0.000 0.336 x2
3 Sc 0.500 0.000 0.215 x2
4 Sc 0.500 0.000 0.524 x2
5 Ge 0.000 0.000 0.653 x2
6 Ge 0.500 0.000 0.875 x2

---

[5]
NaScGe | PBE | relaxed

Summary:
Electronic total energy = -4.32 eV/atom
Formation energy from the elements = -0.7 eV/f.u.

a b c (Å): 3.168 3.992 11.117
angles (deg): 90.00 90.14 90.00
Space group Pm (No. 6)
Symmetry-distinct sites (fractional):
1 Na 0.000 0.000 0.000 x1
2 Na 0.499 0.500 0.226 x1
3 Sc 0.501 0.500 0.512 x1
4 Sc 0.501 0.500 0.784 x1
5 Ge 0.002 0.000 0.663 x1
6 Ge 0.999 0.000 0.401 x1

---

[6]
NaSc3Ge | PBE | relaxed

Summary:
Electronic total energy = -4.90 eV/atom
Offset from the most stable computed form = 0 meV per atom
Formation energy from the elements = 0.4 eV/f.u.

a b c (Å): 5.227 5.227 5.227
angles (deg): 90.00 90.00 90.00
Space group Pm-3m (No. 221)
Symmetry-distinct sites (fractional):
1 Na 0.000 0.000 0.000 x1
2 Sc 0.000 0.500 0.500 x3
3 Ge 0.500 0.500 0.500 x1